Rb2MgCr | PBE | relaxed

As for the crystal system: tetragonal. As for the total energy: -2.49 eV per atom. As for the formation energy from the elements: 0.80 eV/atom.

a b c (Å): 11.903 11.903 8.897
angles (deg): 48.01 48.01 90.00
Site moments in Bohr magnetons follow the coordinates.
Atoms (fractional coordinates):
Mg  0.500  0.500  0.000  0.01
Rb  0.745  0.125  0.250  0.03
Rb  0.375  0.255  0.750  0.03
Rb  0.875  0.995  0.750  0.03
Mg  0.250  0.750  0.500  0.01
Cr  0.000  0.000  0.000  4.21
Rb  0.005  0.625  0.250  0.03
Cr  0.750  0.250  0.500  4.21

---

Pu2GaH | PBE | relaxed

As for the crystal system: trigonal. As for the total energy: -8.64 eV per atom.

a b c (Å): 3.212 3.212 9.271
angles (deg): 80.02 80.02 60.00
Site moments in Bohr magnetons follow the coordinates.
Atoms (fractional coordinates):
Pu  0.889  0.889  0.333  5.57
H  0.500  0.500  0.500  -0.02
Pu  0.111  0.111  0.667  5.57
Ga  0.000  0.000  0.000  0.03

---

La8Pr2Y | PBE | relaxed

As for the crystal system: orthorhombic. As for the total energy: -4.94 eV per atom. As for the formation energy from the elements: 0.10 eV/atom.

a b c (Å): 5.829 8.379 9.723
angles (deg): 115.50 107.44 90.00
Atoms (fractional coordinates):
Pr  0.203  0.702  0.405
La  0.000  0.293  0.000
La  0.159  0.159  0.317
Pr  0.797  0.298  0.595
La  0.634  0.434  0.269
La  0.365  0.164  0.731
La  0.000  0.707  0.000
Y  0.500  0.000  0.000
La  0.841  0.841  0.683
La  0.635  0.836  0.269
La  0.366  0.566  0.731

---

Ac4InPb3 | PBE | relaxed

As for the crystal system: orthorhombic. As for the total energy: -4.31 eV per atom. As for the formation energy from the elements: -0.52 eV/atom.

a b c (Å): 5.037 4.694 12.587
angles (deg): 90.00 90.00 90.00
Atoms (fractional coordinates):
Pb  0.000  0.500  0.590
Pb  0.500  0.000  0.917
Ac  0.500  0.500  0.360
Ac  0.000  0.500  0.865
Pb  0.000  0.000  0.412
Ac  0.500  0.000  0.636
In  0.500  0.500  0.082
Ac  0.000  0.000  0.137

---

TbPm2O | PBE | relaxed

The calculation puts the uncorrected formation energy at -815 meV/atom. As for the crystal system: tetragonal. As for the total energy: -5.59 eV per atom.

a b c (Å): 3.240 3.240 9.046
angles (deg): 90.00 90.00 90.00
Atoms (fractional coordinates):
Tb  0.500  0.500  0.500
O  0.500  0.500  0.000
Pm  0.000  0.000  0.172
Pm  0.000  0.000  0.828

---

InBiF5 | PBE | relaxed

The calculation puts the uncorrected formation energy at -2253 meV/atom. As for the crystal system: monoclinic. As for the total energy: -4.54 eV per atom.

a b c (Å): 6.149 6.149 8.059
angles (deg): 71.05 71.05 74.50
Atoms (fractional coordinates):
Bi  0.539  0.461  0.250
F  0.872  0.128  0.250
F  0.319  0.671  0.457
In  0.000  0.000  0.000
F  0.766  0.736  0.129
F  0.671  0.319  0.957
In  0.000  0.000  0.500
F  0.681  0.329  0.543
Bi  0.461  0.539  0.750
F  0.234  0.264  0.871
F  0.329  0.681  0.043
F  0.736  0.766  0.629
F  0.264  0.234  0.371
F  0.128  0.872  0.750